First-principles (PBE-GGA) data for an optimized crystal structure of NaInAg2Mo, as listed in Alexandria.

Summary:
- electronic total energy (eV for the cell shown) = -15.545
- N(E_F) (states/eV/cell) = 3.0

abc: 5.2733 5.2733 5.3361
angles: 90.00 90.00 90.00
Space group P4/mmm (No. 123)
Symmetry-distinct sites (fractional):
Na: 0.0000 0.0000 0.0000 [1 per cell]
In: 0.5000 0.5000 0.5000 [1 per cell]
Ag: 0.0000 0.5000 0.5000 [2 per cell]
Mo: 0.5000 0.5000 0.0000 [1 per cell]